No. 1
! PBEsol CuHS2Cl, relaxed; values from VASP
! Total energy, eV/atom: -3.29
! Density of states at the Fermi level, states/eV/atom: 0.411
&SYSTEM
  ibrav = 0, nat = 5, ntyp = 4
/
ATOMIC_SPECIES
S 32.06 S.upf
H 1.01 H.upf
Cl 35.45 Cl.upf
Cu 63.55 Cu.upf
ATOMIC_POSITIONS crystal
S 0.5000 0.0000 0.0000
S 0.0000 0.5000 0.0000
H 0.0000 0.0000 0.0000
Cl 0.0000 0.0000 0.5000
Cu 0.5000 0.5000 0.5000
CELL_PARAMETERS angstrom
3.4836 0.0000 0.0000
0.0000 3.4836 0.0000
0.0000 0.0000 6.5437

=====

No. 2
! PBEsol CuHWCl2, relaxed; values from VASP
! Total energy, eV/atom: -4.16
! Density of states at the Fermi level, states/eV/atom: 0.631
&SYSTEM
  ibrav = 0, nat = 5, ntyp = 4
/
ATOMIC_SPECIES
H 1.01 H.upf
W 183.84 W.upf
Cl 35.45 Cl.upf
Cu 63.55 Cu.upf
ATOMIC_POSITIONS crystal
H 0.0000 0.0000 0.0000
W 0.5000 0.0000 0.0000
Cl 0.0000 0.5000 0.0000
Cl 0.0000 0.0000 0.5000
Cu 0.5000 0.5000 0.5000
CELL_PARAMETERS angstrom
3.3980 0.0000 0.0000
0.0000 4.4684 0.0000
0.0000 0.0000 4.4684

=====

No. 3
! PBEsol Hf2CuCl, relaxed; values from VASP
! Uncorrected formation energy, eV/f.u.: -0.53
! Total energy, eV/atom: -6.97
! Density of states at the Fermi level, states/eV/atom: 0.443
&SYSTEM
  ibrav = 0, nat = 4, ntyp = 3
/
ATOMIC_SPECIES
Hf 178.49 Hf.upf
Cu 63.55 Cu.upf
Cl 35.45 Cl.upf
ATOMIC_POSITIONS crystal
Hf 0.2500 0.2500 0.2500
Hf 0.7500 0.7500 0.7500
Cu 0.5000 0.5000 0.5000
Cl 0.0000 0.0000 0.0000
CELL_PARAMETERS angstrom
-2.4475 -3.1483 2.2090
1.8865 -4.0056 1.0850
0.9365 -0.9736 4.3539

=====

No. 4
! PBEsol HfZn2CuCl, relaxed; values from VASP
! Uncorrected formation energy, eV/f.u.: 1.20
! Total energy, eV/atom: -3.76
! Density of states at the Fermi level, states/eV/atom: 0.519
&SYSTEM
  ibrav = 0, nat = 5, ntyp = 4
/
ATOMIC_SPECIES
Zn 65.41 Zn.upf
Hf 178.49 Hf.upf
Cl 35.45 Cl.upf
Cu 63.55 Cu.upf
ATOMIC_POSITIONS crystal
Zn 0.5000 0.0000 0.0000
Zn 0.0000 0.5000 0.0000
Hf 0.0000 0.0000 0.5000
Cl 0.5000 0.5000 0.5000
Cu 0.0000 0.0000 0.0000
CELL_PARAMETERS angstrom
-0.7235 1.7831 4.0303
2.8775 -2.9024 1.8006
3.6720 3.1773 -0.7465

=====

No. 5
! PBEsol Cu2HgCl, relaxed; values from VASP
! Uncorrected formation energy, eV/f.u.: 0.57
! Total energy, eV/atom: -2.67
! Density of states at the Fermi level, states/eV/atom: 0.161
! Offset from the most stable computed form, meV per atom: 76
&SYSTEM
  ibrav = 0, nat = 4, ntyp = 3
/
ATOMIC_SPECIES
Cu 63.55 Cu.upf
Cl 35.45 Cl.upf
Hg 200.59 Hg.upf
ATOMIC_POSITIONS crystal
Cu 0.2672 0.7328 0.7328
Cu 0.7328 0.2672 0.2672
Cl 0.0000 0.5000 0.5000
Hg 0.5000 0.0000 0.0000
CELL_PARAMETERS angstrom
2.9498 0.0000 0.0000
1.4749 4.9996 0.1083
1.4749 1.4313 4.7916

=====

No. 6
! PBEsol CuHg2Cl, relaxed; values from VASP
! Uncorrected formation energy, eV/f.u.: 0.70
! Total energy, eV/atom: -1.69
! Density of states at the Fermi level, states/eV/atom: 0.530
! Offset from the most stable computed form, meV per atom: 90
&SYSTEM
  ibrav = 0, nat = 4, ntyp = 3
/
ATOMIC_SPECIES
Cl 35.45 Cl.upf
Cu 63.55 Cu.upf
Hg 200.59 Hg.upf
ATOMIC_POSITIONS crystal
Cl 0.5000 0.5000 0.5000
Cu 0.5000 0.0000 0.0000
Hg 0.0000 0.5000 0.0000
Hg 0.0000 0.0000 0.5000
CELL_PARAMETERS angstrom
-1.7647 1.1411 2.1406
-0.2048 -4.5623 2.2632
4.1166 1.1852 2.7618

=====

No. 7
! PBEsol Cu2HgCl, relaxed; values from VASP
! Uncorrected formation energy, eV/f.u.: 0.69
! Total energy, eV/atom: -2.64
! Density of states at the Fermi level, states/eV/atom: 0.226
! Offset from the most stable computed form, meV per atom: 107
&SYSTEM
  ibrav = 0, nat = 4, ntyp = 3
/
ATOMIC_SPECIES
Cu 63.55 Cu.upf
Hg 200.59 Hg.upf
Cl 35.45 Cl.upf
ATOMIC_POSITIONS crystal
Cu 0.0000 0.0000 0.2198
Cu 0.0000 0.0000 0.7802
Hg 0.5000 0.5000 0.0000
Cl 0.5000 0.5000 0.5000
CELL_PARAMETERS angstrom
-2.0316 -2.2871 1.1419
1.2485 0.3851 2.9925
-4.2136 4.3416 1.1993

=====

No. 8
! PBEsol CuHgCl, relaxed; values from VASP
! Uncorrected formation energy, eV/f.u.: -0.14
! Total energy, eV/atom: -2.35
! Density of states at the Fermi level, states/eV/atom: 0.208
! Offset from the most stable computed form, meV per atom: 169
&SYSTEM
  ibrav = 0, nat = 3, ntyp = 3
/
ATOMIC_SPECIES
Cl 35.45 Cl.upf
Cu 63.55 Cu.upf
Hg 200.59 Hg.upf
ATOMIC_POSITIONS crystal
Cl 0.0410 0.0410 0.0819
Cu 0.6522 0.6522 0.3044
Hg 0.3069 0.3069 0.6137
CELL_PARAMETERS angstrom
3.1063 0.0000 0.0000
0.0000 3.1063 0.0000
-1.5532 -1.5532 5.7710

=====

No. 9
! PBEsol CuHgCl, relaxed; values from VASP
! Uncorrected formation energy, eV/f.u.: -0.65
! Total energy, eV/atom: -2.52
! Density of states at the Fermi level, states/eV/atom: 0.080
! Offset from the most stable computed form, meV per atom: 0
&SYSTEM
  ibrav = 0, nat = 3, ntyp = 3
/
ATOMIC_SPECIES
Cl 35.45 Cl.upf
Hg 200.59 Hg.upf
Cu 63.55 Cu.upf
ATOMIC_POSITIONS crystal
Cl 0.0000 0.0000 0.9188
Hg 0.6667 0.3333 0.3832
Cu 0.3333 0.6667 0.6980
CELL_PARAMETERS angstrom
3.4746 0.0000 0.0000
-1.7373 3.0091 0.0000
0.0000 0.0000 5.6043

=====

No. 10
! PBEsol Cu2HgCl, relaxed; values from VASP
! Uncorrected formation energy, eV/f.u.: 0.26
! Total energy, eV/atom: -2.75
! Density of states at the Fermi level, states/eV/atom: 0.290
! Offset from the most stable computed form, meV per atom: 0
&SYSTEM
  ibrav = 0, nat = 4, ntyp = 3
/
ATOMIC_SPECIES
Cu 63.55 Cu.upf
Hg 200.59 Hg.upf
Cl 35.45 Cl.upf
ATOMIC_POSITIONS crystal
Cu 0.5000 0.5000 0.2070
Cu 0.0000 0.0000 0.0214
Hg 0.0000 0.0000 0.4289
Cl 0.5000 0.5000 0.8427
CELL_PARAMETERS angstrom
3.1097 0.0000 0.0000
0.0000 3.1097 0.0000
0.0000 0.0000 7.0300

=====

No. 11
! PBEsol Cu2HgCl, relaxed; values from VASP
! Uncorrected formation energy, eV/f.u.: 0.77
! Total energy, eV/atom: -2.62
! Density of states at the Fermi level, states/eV/atom: 0.173
! Offset from the most stable computed form, meV per atom: 127
&SYSTEM
  ibrav = 0, nat = 4, ntyp = 3
/
ATOMIC_SPECIES
Cl 35.45 Cl.upf
Cu 63.55 Cu.upf
Hg 200.59 Hg.upf
ATOMIC_POSITIONS crystal
Cl 0.0000 0.5000 0.5000
Cu 0.5000 0.0000 0.5000
Cu 0.0000 0.0000 0.0000
Hg 0.5000 0.5000 0.0000
CELL_PARAMETERS angstrom
-1.2682 2.6393 1.5505
0.3314 -1.7771 3.2961
5.2183 2.1384 0.6282

=====

No. 12
! PBEsol Cu2HgCl, relaxed; values from VASP
! Uncorrected formation energy, eV/f.u.: 0.46
! Total energy, eV/atom: -2.70
! Density of states at the Fermi level, states/eV/atom: 0.218
! Offset from the most stable computed form, meV per atom: 49
&SYSTEM
  ibrav = 0, nat = 4, ntyp = 3
/
ATOMIC_SPECIES
Cl 35.45 Cl.upf
Hg 200.59 Hg.upf
Cu 63.55 Cu.upf
ATOMIC_POSITIONS crystal
Cl 0.5000 0.0000 0.0000
Hg 0.5000 0.0000 0.5000
Cu 0.0000 0.0000 0.2325
Cu 0.0000 0.0000 0.7675
CELL_PARAMETERS angstrom
3.0720 0.0000 0.0000
-1.5360 2.8051 0.0000
0.0000 0.0000 7.8560